No. 1
This record from the Alexandria database describes a relaxed structure of MgFeO3. The functional is PBEsol.

Calculated values
As for the volume: 9.40 Å³ per atom. The calculation puts the total energy at -7.123 eV/atom. The value obtained for the total magnetization is 2.0 μB per formula unit.

The structure in CIF format:
```
data_MgFeO3
_chemical_formula_sum 'Mg6 Fe6 O18'
_space_group_name_H-M_alt 'R -3'
_space_group_IT_number 148
_space_group_name_Hall '-R 3'
_cell_length_a 4.9006
_cell_length_b 4.9006
_cell_length_c 13.5574
_cell_angle_alpha 90.00
_cell_angle_beta 90.00
_cell_angle_gamma 120.00
loop_
_atom_site_label
_atom_site_type_symbol
_atom_site_fract_x
_atom_site_fract_y
_atom_site_fract_z
Mg1 Mg 0.0000 0.0000 0.1403
Fe1 Fe 0.0000 0.0000 0.3407
O1 O 0.0158 0.6384 0.9233
```


No. 2
This record from the Alexandria database describes a relaxed structure of USi2Ru2. The functional is PBEsol.

Calculated values
As for the volume: 15.84 Å³ per atom. The calculation puts the total energy at -9.425 eV/atom. The value obtained for the total magnetization is 1.4 μB per formula unit.

The structure in CIF format:
```
data_USi2Ru2
_chemical_formula_sum 'U2 Si4 Ru4'
_space_group_name_H-M_alt 'I 4/m m m'
_space_group_IT_number 139
_space_group_name_Hall '-I 4 2'
_cell_length_a 4.093
_cell_length_b 4.093
_cell_length_c 9.456
_cell_angle_alpha 90.00
_cell_angle_beta 90.00
_cell_angle_gamma 90.00
loop_
_atom_site_label
_atom_site_type_symbol
_atom_site_fract_x
_atom_site_fract_y
_atom_site_fract_z
U1 U 0.000 0.000 0.000
Si1 Si 0.000 0.000 0.375
Ru1 Ru 0.000 0.500 0.250
```


No. 3
This record from the Alexandria database describes a relaxed structure of ZrTaTe2. The functional is PBEsol.

Calculated values
As for the volume: 24.31 Å³ per atom. The distance to the lowest polymorph of the same formula comes out at 0.1122 eV per atom. The calculation puts the total energy at -7.406 eV/atom. The value obtained for the total magnetization is 0.0 μB per formula unit.

The structure in CIF format:
```
data_ZrTaTe2
_chemical_formula_sum 'Zr2 Ta2 Te4'
_space_group_name_H-M_alt 'C m m 2'
_space_group_IT_number 35
_cell_length_a 3.859
_cell_length_b 5.158
_cell_length_c 9.769
_cell_angle_alpha 90.00
_cell_angle_beta 90.00
_cell_angle_gamma 90.00
loop_
_space_group_symop_operation_xyz
'x,y,z'
'-x,-y,z'
'-x,y,z'
'x,-y,z'
'x+1/2,y+1/2,z'
'-x+1/2,-y+1/2,z'
'-x+1/2,y+1/2,z'
'x+1/2,-y+1/2,z'
loop_
_atom_site_label
_atom_site_type_symbol
_atom_site_fract_x
_atom_site_fract_y
_atom_site_fract_z
Zr1 Zr 0.000 0.000 0.000
Ta1 Ta 0.000 0.500 0.224
Te1 Te 0.000 0.000 0.426
Te2 Te 0.000 0.500 0.785
```